# 1
Crystalline AcBi3Pb at its relaxed geometry, computed with GGA-PBE.

Unit cell a=6.875 b=6.632 c=15.213 alpha=90.00 beta=90.00 gamma=90.00
Fractional coordinates of all 20 atoms:
Ac 0.750 0.499 0.676
Ac 0.250 0.501 0.324
Ac 0.750 0.999 0.324
Ac 0.250 0.001 0.676
Bi 0.000 0.250 0.499
Bi 0.500 0.750 0.501
Bi 0.000 0.750 0.501
Bi 0.500 0.250 0.499
Bi 0.250 0.225 0.905
Bi 0.750 0.775 0.095
Bi 0.250 0.725 0.095
Bi 0.750 0.275 0.905
Bi 0.250 0.497 0.730
Bi 0.750 0.503 0.270
Bi 0.250 0.997 0.270
Bi 0.750 0.003 0.730
Pb 0.500 0.250 0.109
Pb 0.000 0.750 0.891
Pb 0.500 0.750 0.891
Pb 0.000 0.250 0.109

- calculated total energy (eV/atom) = -4.29

***

# 2
Crystalline BeRhIN2 at its relaxed geometry, computed with GGA-PBE.

Unit cell a=3.607 b=3.607 c=6.193 alpha=90.00 beta=90.00 gamma=90.00
Each line ends with the local moment (μB).
Fractional coordinates of all 5 atoms:
I 0.000 0.000 0.500  0.11
Be 0.000 0.000 0.000  -0.02
Rh 0.500 0.500 0.500  0.45
N 0.000 0.500 0.000  0.61
N 0.500 0.000 0.000  0.61

- ΔE_f (raw) (kJ per mole of atoms) = 139

***

# 3
Crystalline HgPb2F6 at its relaxed geometry, computed with GGA-PBE.

Unit cell a=4.186 b=5.864 c=7.167 alpha=114.14 beta=106.97 gamma=90.00
Fractional coordinates of all 9 atoms:
Hg 0.000 0.000 0.000
Pb 0.337 0.337 0.674
Pb 0.663 0.663 0.326
F 0.841 0.085 0.682
F 0.159 0.403 0.318
F 0.159 0.915 0.318
F 0.500 0.242 0.000
F 0.841 0.597 0.682
F 0.500 0.758 0.000

- ΔE_f (raw) (kJ per mole of atoms) = -201

***

# 4
Crystalline RbBa2LiPt at its relaxed geometry, computed with GGA-PBE.

Unit cell a=6.257 b=6.257 c=5.668 alpha=90.00 beta=90.00 gamma=90.00
Fractional coordinates of all 5 atoms:
Rb 0.500 0.500 0.500
Ba 0.000 0.500 0.000
Ba 0.500 0.000 0.000
Pt 0.000 0.000 0.000
Li 0.000 0.000 0.500

- calculated total energy (eV/atom) = -2.76

***

# 5
Crystalline ZnCrNi4 at its relaxed geometry, computed with GGA-PBE.

Unit cell a=6.121 b=6.120 c=6.033 alpha=120.48 beta=120.48 gamma=90.00
Each line ends with the local moment (μB).
Fractional coordinates of all 12 atoms:
Zn 0.000 0.000 0.000  0.01
Zn 0.250 0.750 0.500  0.01
Cr 0.500 0.500 0.000  1.37
Cr 0.750 0.250 0.500  1.37
Ni 0.405 0.125 0.516  0.08
Ni 0.641 0.155 0.016  0.08
Ni 0.375 0.861 0.016  0.08
Ni 0.111 0.391 0.516  0.08
Ni 0.139 0.359 0.984  0.08
Ni 0.875 0.889 0.484  0.08
Ni 0.609 0.595 0.484  0.08
Ni 0.845 0.625 0.984  0.08

- calculated total energy (eV/atom) = -5.26

***

# 6
Crystalline Tm3Hf at its relaxed geometry, computed with GGA-PBE.

Unit cell a=5.409 b=5.409 c=5.409 alpha=60.00 beta=60.00 gamma=60.00
Each line ends with the local moment (μB).
Fractional coordinates of all 4 atoms:
Tm 0.000 0.000 0.000  0.37
Tm 0.750 0.750 0.750  0.55
Tm 0.250 0.250 0.250  0.55
Hf 0.500 0.500 0.500  0.87

- calculated total energy (eV/atom) = -5.58

***

no.,calculated volume (Å³ per atom)
1,34.7
2,16.1
3,16.9
4,44.4
5,13.1
6,28.0